# CaZn2Cu

A relaxed structure of CaZn2Cu (PBE, Alexandria via LeMat-Bulk).

The structure belongs to space group Immm (No. 71); the cell edges are 3.975, 4.853 and 7.785 Å and the angles 90.00°, 90.00° and 90.00°. The inequivalent atoms are Ca at (0.000, 0.000, 0.000), Zn at (0.000, 0.500, 0.215) and Cu at (0.000, 0.000, 0.500).

For the density of states at the Fermi level, the calculation gives 2.868 states/eV/cell. Its total energy is -2.225 eV/atom.